Density functional theory data (PBE) for an optimized crystal structure of CuNiTe3.

Properties
Spin magnetization = 0.00 μB per cell
Fermi-level density of states = 10.976 states/eV/cell
Energy relative to the elements, uncorrected = -11 kJ per mole of atoms
Energy above the lowest structure with this stoichiometry = 0.00 kJ per mole of atoms

abc: 4.007 20.680 5.388
angles: 90.00 90.00 90.00
Space group Cmc2_1 (No. 36)
Unique sites:
Cu1 0.000 0.012 0.000 x4
Ni1 0.000 0.326 0.982 x4
Te1 0.000 0.130 0.218 x4
Te2 0.000 0.213 0.763 x4
Te3 0.000 0.441 0.199 x4